No. 1
First-principles (PBE-GGA) data for Ac8Si3NiI4 after structural relaxation, as listed in Alexandria via LeMat-Bulk.

a = 9.140 Å, b = 9.713 Å, c = 9.140 Å
α = 118.07°, β = 120.00°, γ = 90.00°
Positions (direct):
Ac1 0.257 0.305 0.031
Ac2 0.774 0.305 0.031
Ac3 0.743 0.695 0.969
Ac4 0.774 0.305 0.547
Ac5 0.734 0.703 0.468
Ac6 0.226 0.695 0.453
Ac7 0.226 0.695 0.969
Ac8 0.266 0.297 0.532
Ni1 0.000 0.500 0.000
I1 0.000 0.000 0.500
I2 0.500 0.000 0.000
I3 0.500 0.000 0.500
I4 0.000 0.000 0.000
Si1 0.500 0.500 0.000
Si2 0.000 0.500 0.500
Si3 0.500 0.500 0.500

E_form (uncorrected) = -13.30 eV per formula unit
Space-group type = R-3m (166)
E = -4.651 eV/atom
Calculated volume = 590.0 Å³ per cell

No. 2
First-principles (PBE-GGA) data for CaTaI2N after structural relaxation, as listed in Alexandria via LeMat-Bulk.

a = 5.833 Å, b = 5.833 Å, c = 3.966 Å
α = 90.00°, β = 90.00°, γ = 90.00°
Site moments in Bohr magnetons follow the coordinates.
Positions (direct):
N1 0.000 0.000 0.500  -0.06
I1 0.500 0.000 0.000  0.01
I2 0.000 0.500 0.000  0.01
Ta1 0.000 0.000 0.000  0.74
Ca1 0.500 0.500 0.500  0.06

E_form (uncorrected) = -1.45 eV per formula unit
Space-group type = P4/mmm (123)
E = -5.346 eV/atom
Energy above the most stable polymorph in this dataset = 0.0 kJ/mol of atoms
Calculated volume = 135.0 Å³ per cell

No. 3
First-principles (PBE-GGA) data for Li2TiMnSe4 after structural relaxation, as listed in Alexandria via LeMat-Bulk.

a = 3.702 Å, b = 6.581 Å, c = 6.704 Å
α = 109.13°, β = 90.00°, γ = 90.00°
Site moments in Bohr magnetons follow the coordinates.
Positions (direct):
Li1 0.000 0.500 0.500  0.00
Li2 0.500 0.000 0.500  0.01
Se1 0.000 0.746 0.230  0.00
Se2 0.000 0.254 0.770  0.00
Se3 0.500 0.238 0.236  -0.01
Se4 0.500 0.762 0.764  -0.01
Ti1 0.000 0.000 0.000  0.50
Mn1 0.500 0.500 0.000  4.03

E_form (uncorrected) = -7.90 eV per formula unit
Space-group type = P2/m (10)
E = -5.341 eV/atom
Calculated volume = 154.3 Å³ per cell

No. 4
First-principles (PBE-GGA) data for NaNp2CuS5 after structural relaxation, as listed in Alexandria via LeMat-Bulk.

a = 7.499 Å, b = 7.499 Å, c = 8.524 Å
α = 116.09°, β = 116.09°, γ = 90.00°
Site moments in Bohr magnetons follow the coordinates.
Positions (direct):
Cu1 0.750 0.250 0.500  -0.14
Cu2 0.250 0.750 0.500  -0.14
S1 0.480 0.278 0.257  -0.13
S2 0.020 0.520 0.743  -0.13
S3 0.980 0.480 0.257  -0.13
S4 0.278 0.778 0.257  -0.13
S5 0.778 0.980 0.257  -0.13
S6 0.000 0.000 0.000  -0.17
S7 0.722 0.222 0.743  -0.13
S8 0.520 0.722 0.743  -0.13
S9 0.500 0.500 0.000  -0.17
S10 0.222 0.020 0.743  -0.13
Np1 0.839 0.661 0.000  3.37
Np2 0.161 0.339 0.000  3.37
Np3 0.339 0.839 0.000  3.37
Np4 0.661 0.161 0.000  3.37
Na1 0.250 0.250 0.500  0.00
Na2 0.750 0.750 0.500  0.00

E_form (uncorrected) = -9.72 eV per formula unit
Space-group type = I4/mcm (140)
E = -6.850 eV/atom
Calculated volume = 375.3 Å³ per cell

No. 5
First-principles (PBE-GGA) data for ZrInAg2 after structural relaxation, as listed in Alexandria via LeMat-Bulk.

a = 4.818 Å, b = 2.957 Å, c = 5.783 Å
α = 88.31°, β = 90.00°, γ = 90.00°
Positions (direct):
In1 0.500 0.250 0.250
Ag1 0.000 0.284 0.512
Ag2 0.000 0.216 0.988
Zr1 0.500 0.750 0.750

Space-group type = P2/m (10)
E = -4.327 eV/atom
Calculated volume = 82.4 Å³ per cell
Energy of formation from the pure elements = -0.0795 eV/atom

No. 6
First-principles (PBE-GGA) data for LiSm2Sb after structural relaxation, as listed in Alexandria via LeMat-Bulk.

a = 4.276 Å, b = 4.996 Å, c = 4.996 Å
α = 90.00°, β = 90.00°, γ = 90.00°
Positions (direct):
Sm1 0.000 0.500 0.000
Sm2 0.000 0.000 0.500
Li1 0.500 0.500 0.500
Sb1 0.500 0.000 0.000

E_form (uncorrected) = -2.20 eV per formula unit
Space-group type = P4/mmm (123)
E = -4.419 eV/atom
Energy above the most stable polymorph in this dataset = 0.6 kJ/mol of atoms
Calculated volume = 106.7 Å³ per cell

No. 7
First-principles (PBE-GGA) data for Ho2BeGe2 after structural relaxation, as listed in Alexandria via LeMat-Bulk.

a = 3.952 Å, b = 5.660 Å, c = 9.754 Å
α = 78.94°, β = 78.31°, γ = 69.56°
Positions (direct):
Ho1 0.699 0.246 0.357
Ho2 0.904 0.289 0.904
Ho3 0.096 0.711 0.096
Ho4 0.301 0.754 0.643
Ge1 0.644 0.848 0.864
Ge2 0.955 0.684 0.406
Ge3 0.045 0.316 0.594
Ge4 0.356 0.152 0.136
Be1 0.570 0.174 0.687
Be2 0.430 0.826 0.313

Space-group type = C2/m (12)
E = -5.105 eV/atom
Calculated volume = 198.4 Å³ per cell
Energy of formation from the pure elements = -0.6820 eV/atom

No. 8
First-principles (PBE-GGA) data for CeGaPd2 after structural relaxation, as listed in Alexandria via LeMat-Bulk.

a = 3.568 Å, b = 4.647 Å, c = 4.647 Å
α = 90.00°, β = 90.00°, γ = 90.00°
Site moments in Bohr magnetons follow the coordinates.
Positions (direct):
Pd1 0.000 0.500 0.000  -0.01
Pd2 0.000 0.000 0.500  -0.01
Ce1 0.500 0.500 0.500  0.52
Ga1 0.500 0.000 0.000  -0.01

Space-group type = P4/mmm (123)
E = -5.374 eV/atom
Calculated volume = 77.1 Å³ per cell
Energy of formation from the pure elements = -0.5376 eV/atom

No. 9
First-principles (PBE-GGA) data for TcHgAs after structural relaxation, as listed in Alexandria via LeMat-Bulk.

a = 4.397 Å, b = 4.397 Å, c = 4.397 Å
α = 60.00°, β = 60.00°, γ = 60.00°
Positions (direct):
Hg1 0.500 0.500 0.500
As1 0.000 0.000 0.000
Tc1 0.750 0.750 0.750

Space-group type = F-43m (216)
E = -4.592 eV/atom
Energy above the most stable polymorph in this dataset = 35.4 kJ/mol of atoms
Calculated volume = 60.1 Å³ per cell
Energy of formation from the pure elements = 0.5133 eV/atom

No. 10
First-principles (PBE-GGA) data for Pm2GeBi after structural relaxation, as listed in Alexandria via LeMat-Bulk.

a = 4.334 Å, b = 5.028 Å, c = 5.028 Å
α = 90.00°, β = 90.00°, γ = 90.00°
Positions (direct):
Bi1 0.500 0.500 0.500
Ge1 0.500 0.000 0.000
Pm1 0.000 0.500 0.000
Pm2 0.000 0.000 0.500

Space-group type = P4/mmm (123)
E = -5.098 eV/atom
Energy above the most stable polymorph in this dataset = 21.6 kJ/mol of atoms
Calculated volume = 109.5 Å³ per cell
Energy of formation from the pure elements = -0.5977 eV/atom

No. 11
First-principles (PBE-GGA) data for MgSc2P after structural relaxation, as listed in Alexandria via LeMat-Bulk.

a = 3.426 Å, b = 3.426 Å, c = 7.294 Å
α = 90.00°, β = 90.00°, γ = 90.00°
Site moments in Bohr magnetons follow the coordinates.
Positions (direct):
Sc1 0.000 0.000 0.941  0.21
Sc2 0.500 0.500 0.227  0.38
P1 0.500 0.500 0.791  0.00
Mg1 0.000 0.000 0.541  0.00

Space-group type = P4mm (99)
E = -5.288 eV/atom
Energy above the most stable polymorph in this dataset = 32.5 kJ/mol of atoms
Calculated volume = 85.6 Å³ per cell
Energy of formation from the pure elements = -0.3715 eV/atom

No. 12
First-principles (PBE-GGA) data for Y5ThSb6 after structural relaxation, as listed in Alexandria via LeMat-Bulk.

a = 7.647 Å, b = 7.643 Å, c = 7.639 Å
α = 59.99°, β = 80.40°, γ = 70.52°
Positions (direct):
Y1 0.500 0.835 0.330
Y2 0.500 0.500 0.000
Y3 0.000 0.667 0.666
Y4 0.000 0.333 0.334
Y5 0.500 0.165 0.670
Th1 0.000 0.000 0.000
Sb1 0.253 0.578 0.337
Sb2 0.253 0.915 0.663
Sb3 0.749 0.746 0.000
Sb4 0.251 0.254 0.000
Sb5 0.747 0.422 0.663
Sb6 0.747 0.085 0.337

E_form (uncorrected) = -13.61 eV per formula unit
Space-group type = C2/m (12)
E = -6.507 eV/atom
Calculated volume = 364.5 Å³ per cell

No. 13
First-principles (PBE-GGA) data for Mg3ScIr after structural relaxation, as listed in Alexandria via LeMat-Bulk.

a = 5.145 Å, b = 5.145 Å, c = 5.145 Å
α = 90.00°, β = 90.00°, γ = 90.00°
Positions (direct):
Sc1 0.000 0.000 0.000
Ir1 0.500 0.500 0.500
Mg1 0.000 0.500 0.000
Mg2 0.000 0.000 0.500
Mg3 0.500 0.000 0.000

Space-group type = Pm-3m (221)
E = -2.269 eV/atom
Energy above the most stable polymorph in this dataset = 156.4 kJ/mol of atoms
Calculated volume = 136.2 Å³ per cell
Energy of formation from the pure elements = 1.7267 eV/atom

No. 14
First-principles (PBE-GGA) data for Sr3TlCu2O6 after structural relaxation, as listed in Alexandria via LeMat-Bulk.

a = 6.073 Å, b = 6.073 Å, c = 6.418 Å
α = 90.00°, β = 90.00°, γ = 120.00°
Positions (direct):
O1 0.171 0.829 0.288
O2 0.829 0.659 0.712
O3 0.341 0.171 0.712
O4 0.171 0.341 0.288
O5 0.659 0.829 0.288
O6 0.829 0.171 0.712
Sr1 0.667 0.333 0.380
Sr2 0.333 0.667 0.620
Sr3 0.000 0.000 0.000
Tl1 0.000 0.000 0.500
Cu1 0.667 0.333 0.839
Cu2 0.333 0.667 0.161

E_form (uncorrected) = -16.78 eV per formula unit
Space-group type = P-3m1 (164)
E = -5.178 eV/atom
Calculated volume = 205.0 Å³ per cell

No. 15
First-principles (PBE-GGA) data for Ac2PuMo2N6 after structural relaxation, as listed in Alexandria via LeMat-Bulk.

a = 5.952 Å, b = 5.952 Å, c = 7.014 Å
α = 64.89°, β = 64.89°, γ = 60.00°
Site moments in Bohr magnetons follow the coordinates.
Positions (direct):
Ac1 0.207 0.207 0.380  0.00
Ac2 0.793 0.793 0.620  0.00
N1 0.748 0.748 0.276  -0.04
N2 0.748 0.229 0.276  -0.04
N3 0.229 0.748 0.276  -0.04
N4 0.252 0.771 0.724  -0.04
N5 0.252 0.252 0.724  -0.04
N6 0.771 0.252 0.724  -0.04
Mo1 0.400 0.400 0.799  0.06
Mo2 0.600 0.600 0.201  0.06
Pu1 0.000 0.000 0.000  4.42

E_form (uncorrected) = -8.43 eV per formula unit
Space-group type = R-3m (166)
E = -9.327 eV/atom
Calculated volume = 187.6 Å³ per cell

No. 16
First-principles (PBE-GGA) data for Ce3Pm2Pb6 after structural relaxation, as listed in Alexandria via LeMat-Bulk.

a = 6.070 Å, b = 6.070 Å, c = 11.882 Å
α = 104.80°, β = 104.80°, γ = 90.00°
Site moments in Bohr magnetons follow the coordinates.
Positions (direct):
Pb1 0.926 0.426 0.852  -0.01
Pb2 0.574 0.074 0.148  -0.01
Pb3 0.285 0.285 0.571  -0.01
Pb4 0.074 0.574 0.148  -0.01
Pb5 0.426 0.926 0.852  -0.01
Pb6 0.715 0.715 0.429  -0.01
Ce1 0.000 0.000 0.000  0.74
Ce2 0.858 0.858 0.716  0.94
Ce3 0.142 0.142 0.284  0.94
Pm1 0.576 0.576 0.153  -0.03
Pm2 0.424 0.424 0.847  -0.03

Space-group type = I4/mmm (139)
E = -4.562 eV/atom
Calculated volume = 408.3 Å³ per cell
Energy of formation from the pure elements = -0.0571 eV/atom

No. 17
First-principles (PBE-GGA) data for CsNaPr2Br8 after structural relaxation, as listed in Alexandria via LeMat-Bulk.

a = 7.601 Å, b = 7.330 Å, c = 9.158 Å
α = 90.01°, β = 90.00°, γ = 84.43°
Positions (direct):
Cs1 0.000 0.000 0.500
Br1 0.823 0.265 0.786
Br2 0.619 0.712 0.500
Br3 0.823 0.265 0.214
Br4 0.177 0.735 0.786
Br5 0.638 0.718 0.000
Br6 0.381 0.288 0.500
Br7 0.362 0.282 0.000
Br8 0.177 0.735 0.214
Pr1 0.500 0.500 0.242
Pr2 0.500 0.500 0.758
Na1 0.000 0.000 0.000

E_form (uncorrected) = -21.33 eV per formula unit
Space-group type = P2/m (10)
E = -3.870 eV/atom
Calculated volume = 507.8 Å³ per cell

No. 18
First-principles (PBE-GGA) data for Nb3Fe20B6 after structural relaxation, as listed in Alexandria via LeMat-Bulk.

a = 7.566 Å, b = 7.566 Å, c = 7.566 Å
α = 60.00°, β = 60.00°, γ = 60.00°
Site moments in Bohr magnetons follow the coordinates.
Positions (direct):
Nb1 0.000 0.000 0.000  -0.48
Nb2 0.750 0.750 0.750  -0.71
Nb3 0.250 0.250 0.250  -0.71
Fe1 0.616 0.616 0.153  1.61
Fe2 0.653 0.000 0.000  1.99
Fe3 0.000 0.347 0.000  1.99
Fe4 0.384 0.384 0.847  1.61
Fe5 0.000 0.653 0.347  1.99
Fe6 0.653 0.000 0.347  1.99
Fe7 0.384 0.847 0.384  1.61
Fe8 0.616 0.616 0.616  1.61
Fe9 0.000 0.000 0.653  1.99
Fe10 0.347 0.000 0.653  1.99
Fe11 0.347 0.653 0.000  1.99
Fe12 0.153 0.616 0.616  1.61
Fe13 0.653 0.347 0.000  1.99
Fe14 0.847 0.384 0.384  1.61
Fe15 0.000 0.347 0.653  1.99
Fe16 0.000 0.653 0.000  1.99
Fe17 0.000 0.000 0.347  1.99
Fe18 0.384 0.384 0.384  1.61
Fe19 0.347 0.000 0.000  1.99
Fe20 0.616 0.153 0.616  1.61
B1 0.271 0.729 0.729  -0.13
B2 0.729 0.271 0.729  -0.13
B3 0.729 0.271 0.271  -0.13
B4 0.271 0.271 0.729  -0.13
B5 0.729 0.729 0.271  -0.13
B6 0.271 0.729 0.271  -0.13

Space-group type = Fm-3m (225)
E = -8.526 eV/atom
Calculated volume = 306.2 Å³ per cell
Energy of formation from the pure elements = -0.2660 eV/atom

No. 19
First-principles (PBE-GGA) data for TePAu2 after structural relaxation, as listed in Alexandria via LeMat-Bulk.

a = 6.103 Å, b = 6.103 Å, c = 7.025 Å
α = 64.25°, β = 64.25°, γ = 90.00°
Positions (direct):
Au1 0.875 0.822 0.750
Au2 0.375 0.428 0.750
Au3 0.572 0.125 0.250
Au4 0.178 0.625 0.250
Te1 0.750 0.250 0.500
Te2 0.000 0.000 0.000
P1 0.250 0.750 0.500
P2 0.500 0.500 0.000

E_form (uncorrected) = 0.52 eV per formula unit
Space-group type = I-42d (122)
E = -3.646 eV/atom
Energy above the most stable polymorph in this dataset = 7.0 kJ/mol of atoms
Calculated volume = 206.5 Å³ per cell

No. 20
First-principles (PBE-GGA) data for CuGe2F8 after structural relaxation, as listed in Alexandria via LeMat-Bulk.

a = 4.027 Å, b = 6.537 Å, c = 6.539 Å
α = 120.01°, β = 90.00°, γ = 90.00°
Positions (direct):
F1 0.239 0.171 0.343
F2 0.761 0.829 0.657
F3 0.239 0.172 0.829
F4 0.746 0.333 0.667
F5 0.761 0.828 0.171
F6 0.761 0.342 0.172
F7 0.239 0.658 0.828
F8 0.254 0.667 0.333
Ge1 0.759 0.667 0.333
Ge2 0.241 0.333 0.667
Cu1 0.000 0.000 0.000

E_form (uncorrected) = -21.28 eV per formula unit
Space-group type = P-3m1 (164)
E = -4.507 eV/atom
Energy above the most stable polymorph in this dataset = 0.0 kJ/mol of atoms
Calculated volume = 149.1 Å³ per cell

No. 21
First-principles (PBE-GGA) data for CaZr2Cl after structural relaxation, as listed in Alexandria via LeMat-Bulk.

a = 3.309 Å, b = 3.309 Å, c = 10.434 Å
α = 90.00°, β = 90.00°, γ = 90.00°
Positions (direct):
Cl1 0.500 0.500 0.673
Zr1 0.000 0.000 0.056
Zr2 0.500 0.500 0.245
Ca1 0.000 0.000 0.526

E_form (uncorrected) = -1.91 eV per formula unit
Space-group type = P4mm (99)
E = -5.715 eV/atom
Energy above the most stable polymorph in this dataset = 0.0 kJ/mol of atoms
Calculated volume = 114.3 Å³ per cell

No. 22
First-principles (PBE-GGA) data for HoTePd after structural relaxation, as listed in Alexandria via LeMat-Bulk.

a = 4.194 Å, b = 5.709 Å, c = 6.907 Å
α = 78.05°, β = 89.98°, γ = 111.54°
Positions (direct):
Pd1 0.109 0.217 0.575
Pd2 0.891 0.783 0.425
Ho1 0.604 0.208 0.270
Ho2 0.396 0.792 0.730
Te1 0.327 0.655 0.199
Te2 0.673 0.345 0.801

E_form (uncorrected) = -3.18 eV per formula unit
Space-group type = C2/m (12)
E = -5.363 eV/atom
Calculated volume = 150.0 Å³ per cell

No. 23
First-principles (PBE-GGA) data for BaNd2In after structural relaxation, as listed in Alexandria via LeMat-Bulk.

a = 5.384 Å, b = 5.384 Å, c = 7.146 Å
α = 67.87°, β = 67.87°, γ = 60.00°
Positions (direct):
Nd1 0.045 0.045 0.864
Nd2 0.280 0.280 0.161
In1 0.683 0.683 0.950
Ba1 0.492 0.492 0.525

Space-group type = R3m (160)
E = -3.559 eV/atom
Energy above the most stable polymorph in this dataset = 10.9 kJ/mol of atoms
Calculated volume = 161.5 Å³ per cell
Energy of formation from the pure elements = -0.0101 eV/atom